Below is a relaxed Mn3BeTc crystal, with properties calculated at the GGA-PBE level.

Cell and atoms, written as POSCAR:
```
Mn3BeTc
1.0
4.509 0.000 0.000
0.000 4.509 0.000
0.000 0.000 4.509
Be Mn Tc
1 3 1
direct
0.500 0.500 0.500 Be
0.000 0.500 0.000 Mn
0.000 0.000 0.500 Mn
0.500 0.000 0.000 Mn
0.000 0.000 0.000 Tc
```

The value obtained for the energy relative to the elements is 1540 meV per atom. The value obtained for the energy above the most stable polymorph in this dataset is 921 meV per atom. As for the density of states at the Fermi level: 6.9 states/eV per cell. The value obtained for the density is 4.925 g/cm3.

Below is a relaxed Zr2UTc crystal, with properties calculated at the GGA-PBE level.

Cell and atoms, written as POSCAR:
```
Zr2UTc
1.0
3.244 0.000 0.000
0.000 3.244 0.000
0.000 0.000 7.865
U Tc Zr
1 1 2
direct
0.500 0.500 0.500 U
0.500 0.500 0.000 Tc
0.000 0.000 0.792 Zr
0.000 0.000 0.208 Zr
```

The value obtained for the energy relative to the elements is 6 meV per atom. As for the density of states at the Fermi level: 6.4 states/eV per cell. The value obtained for the density is 10.402 g/cm3.

Below is a relaxed Ce2TaMoN5 crystal, with properties calculated at the GGA-PBE level.

Cell and atoms, written as POSCAR:
```
Ce2TaMoN5
1.0
-2.605 -1.081 -1.785
4.322 -5.309 0.028
-4.445 -3.572 8.650
Ce Ta Mo N
4 2 2 10
direct
0.855 0.710 0.796 Ce
0.110 0.220 0.689 Ce
0.145 0.290 0.296 Ce
0.890 0.780 0.189 Ce
0.787 0.573 0.508 Ta
0.213 0.427 0.008 Ta
0.528 0.056 0.964 Mo
0.472 0.944 0.464 Mo
0.367 0.734 0.000 N
0.683 0.366 0.876 N
0.490 0.980 0.782 N
0.281 0.562 0.649 N
0.949 0.898 0.559 N
0.633 0.266 0.500 N
0.317 0.634 0.376 N
0.510 0.020 0.282 N
0.719 0.438 0.149 N
0.051 0.102 0.059 N
```

Its energy relative to the elements, uncorrected is -1170.0 meV per atom. As for the density of states at the Fermi level: 11.9 states/eV per cell. The value obtained for the density is 9.072 g/cm3.

Below is a relaxed Li9AgHg2 crystal, with properties calculated at the GGA-PBE level.

Cell and atoms, written as POSCAR:
```
Li9AgHg2
1.0
-0.321 -3.798 1.715
2.758 1.096 2.943
-8.984 3.904 6.965
Li Ag Hg
9 1 2
direct
0.500 0.500 0.000 Li
0.500 0.500 0.333 Li
0.500 0.500 0.667 Li
0.500 0.000 0.165 Li
0.500 0.000 0.500 Li
0.500 0.000 0.835 Li
0.000 0.500 0.165 Li
0.000 0.500 0.500 Li
0.000 0.500 0.835 Li
0.000 0.000 0.000 Ag
0.000 0.000 0.333 Hg
0.000 0.000 0.667 Hg
```

The value obtained for the energy relative to the elements is -216 meV per atom. As for the density of states at the Fermi level: 5.3 states/eV per cell. The value obtained for the density is 4.520 g/cm3.

Below is a relaxed Cs3CoAs crystal, with properties calculated at the GGA-PBE level.

Cell and atoms, written as POSCAR:
```
Cs3CoAs
1.0
5.812 0.000 0.000
0.000 5.812 0.000
0.000 0.000 5.812
Cs As Co
3 1 1
direct
0.000 0.500 0.000 Cs
0.000 0.000 0.500 Cs
0.500 0.000 0.000 Cs
0.500 0.500 0.500 As
0.000 0.000 0.000 Co
```

The value obtained for the energy relative to the elements is 767 meV per atom. As for the density of states at the Fermi level: 7.5 states/eV per cell. The value obtained for the density is 4.503 g/cm3.

Below is a relaxed DyAg2Hg crystal, with properties calculated at the GGA-PBE level.

Cell and atoms, written as POSCAR:
```
DyAg2Hg
1.0
-3.435 0.149 2.767
-1.930 -3.405 -2.212
2.060 -2.932 2.715
Hg Ag Dy
1 2 1
direct
0.500 0.000 0.000 Hg
0.000 0.000 0.500 Ag
0.000 0.500 0.000 Ag
0.500 0.500 0.500 Dy
```

The value obtained for the energy relative to the elements is -166 meV per atom. As for the density of states at the Fermi level: 2.2 states/eV per cell. The value obtained for the density is 10.775 g/cm3.